Computed, not measured: a geometry-optimized MgSc2Ir structure at the PBE-GGA level of DFT.

As for the crystal system: tetragonal. The size of the total moment comes out at 0.000 μB/atom. Its density of states at the Fermi level is 1.027 states/eV per atom. The formation enthalpy at 0 K comes out at -493 meV per atom. The energy is -6.27 eV per atom.

The space group is P4/mmm (No. 123) and the conventional cell measures 4.6866, 4.6866 and 3.4190 Å, with angles of 90.00, 90.00 and 90.00 degrees. The inequivalent atoms are Mg at (0.0000, 0.0000, 0.0000), Sc at (0.0000, 0.5000, 0.5000) and Ir at (0.5000, 0.5000, 0.0000).

Computed, not measured: a geometry-optimized MgSc2Ir structure at the PBE-GGA level of DFT.

As for the crystal system: orthorhombic. The size of the total moment comes out at 0.000 μB/atom. Its density of states at the Fermi level is 0.765 states/eV per atom. The formation enthalpy at 0 K comes out at -106 meV per atom. The energy is -5.89 eV per atom.

The space group is Immm (No. 71) and the conventional cell measures 3.1286, 4.1988 and 14.0685 Å, with angles of 90.00, 90.00 and 90.00 degrees. The inequivalent atoms are Mg at (0.0000, 0.0000, 0.0000), Sc at (0.0000, 0.0000, 0.3249) and Ir at (0.0000, 0.0000, 0.5000).

Computed, not measured: a geometry-optimized MgSc4Ir structure at the PBE-GGA level of DFT.

As for the crystal system: monoclinic. The size of the total moment comes out at 0.000 μB/atom. Its density of states at the Fermi level is 1.254 states/eV per atom. The formation enthalpy at 0 K comes out at -177 meV per atom. The value obtained for the energy relative to the lowest polymorph listed for this composition is 0.0 kJ per mole of atoms. The energy is -6.14 eV per atom.

The space group is C2/m (No. 12) and the conventional cell measures 10.2301, 3.5901 and 8.5907 Å, with angles of 90.00, 111.43 and 90.00 degrees. The inequivalent atoms are Mg at (0.0000, 0.0000, 0.0000), Sc at (0.1224, 0.0000, 0.3898), Sc at (0.1640, 0.5000, 0.8219) and Ir at (0.0000, 0.5000, 0.5000).

Computed, not measured: a geometry-optimized MgScIr structure at the PBE-GGA level of DFT.

As for the crystal system: trigonal. The size of the total moment comes out at 0.000 μB/atom. Its density of states at the Fermi level is 0.436 states/eV per atom. The formation enthalpy at 0 K comes out at -492 meV per atom. The energy is -6.09 eV per atom.

The space group is P3m1 (No. 156) and the conventional cell measures 4.4804, 4.4804 and 3.0494 Å, with angles of 90.00, 90.00 and 120.00 degrees. The inequivalent atoms are Mg at (0.0000, 0.0000, 0.0000), Sc at (0.6667, 0.3333, 0.4234) and Ir at (0.3333, 0.6667, 0.7252).